No. 1
Here is a relaxed Cs3TcCl8 crystal from Alexandria. Energies are from PBE.

abc: 9.075 9.075 9.075
angles: 130.33 130.33 72.89
Element x y z (fractional)
Cs1 0.000 0.000 0.000
Cs2 0.250 0.750 0.500
Cs3 0.750 0.250 0.500
Tc1 0.500 0.500 0.000
Cl1 0.203 0.203 0.609
Cl2 0.203 0.594 0.000
Cl3 0.406 0.406 0.609
Cl4 0.406 0.797 0.000
Cl5 0.594 0.203 0.000
Cl6 0.594 0.594 0.391
Cl7 0.797 0.406 0.000
Cl8 0.797 0.797 0.391

Calculated values
The calculation puts the uncorrected formation energy at -12.6 eV per formula unit. As for the density of states at the Fermi level: 2.372 states/eV per cell. The total DFT energy (no corrections) comes out at -3.36 eV per atom. The energy above the most stable polymorph in this dataset is 287 kJ/mol of formula units.

---

No. 2
Here is a relaxed Cs3Tc2Cl8 crystal from Alexandria. Energies are from PBE.

abc: 9.928 9.928 9.928
angles: 45.07 45.07 45.07
Element x y z (fractional)
Cs1 0.000 0.000 0.000
Cs2 0.232 0.232 0.232
Cs3 0.768 0.768 0.768
Tc1 0.459 0.459 0.459
Tc2 0.541 0.541 0.541
Cl1 0.198 0.730 0.730
Cl2 0.270 0.270 0.802
Cl3 0.270 0.802 0.270
Cl4 0.357 0.357 0.357
Cl5 0.643 0.643 0.643
Cl6 0.730 0.198 0.730
Cl7 0.730 0.730 0.198
Cl8 0.802 0.270 0.270

Calculated values
The calculation puts the uncorrected formation energy at -14.6 eV per formula unit. As for the density of states at the Fermi level: 4.204 states/eV per cell. The total DFT energy (no corrections) comes out at -4.05 eV per atom.